[1]
# Rb10Te4S

Crystalline Rb10Te4S at its relaxed geometry (PBE-GGA, Alexandria via LeMat-Bulk).

Its magnetic moment is 0.0 μB per formula unit. For the formation energy (no corrections), the calculation gives -14.9 eV/f.u. As for the electronic total energy: -2.752 eV per atom. As for the density of states at the Fermi level: 0.00 states/eV/cell.

Lattice parameters (Å, degrees): 13.350 13.350 8.450 90.00 90.00 90.00
Space group I4/m (No. 87)
Unique sites:
Rb (0.000, 0.500, 0.250) [4 per cell]
Rb (0.096, 0.191, 0.238) [16 per cell]
Te (0.101, 0.703, 0.500) [8 per cell]
S (0.000, 0.000, 0.000) [2 per cell]


[2]
# Rb5Te2S5

Crystalline Rb5Te2S5 at its relaxed geometry (PBE-GGA, Alexandria via LeMat-Bulk).

Its magnetic moment is 0.0 μB per formula unit. For the formation energy (no corrections), the calculation gives -8.5 eV/f.u. As for the electronic total energy: -3.355 eV per atom. As for the density of states at the Fermi level: 5.74 states/eV/cell.

Lattice parameters (Å, degrees): 10.740 5.116 14.258 90.00 104.00 90.00
Space group C2/m (No. 12)
Unique sites:
Rb (0.000, 0.000, 0.000) [2 per cell]
Rb (0.184, 0.000, 0.565) [4 per cell]
Rb (0.220, 0.500, 0.153) [4 per cell]
Te (0.038, 0.500, 0.710) [4 per cell]
S (0.000, 0.500, 0.500) [2 per cell]
S (0.050, 0.000, 0.297) [4 per cell]
S (0.113, 0.500, 0.894) [4 per cell]


[3]
# RbTe3S

Crystalline RbTe3S at its relaxed geometry (PBE-GGA, Alexandria via LeMat-Bulk).

Its energy above the most stable polymorph in this dataset is 641.6 kJ/mol of formula units. Its magnetic moment is 7.0 μB per formula unit. For the formation energy (no corrections), the calculation gives 6.3 eV/f.u. As for the electronic total energy: -1.636 eV per atom. As for the density of states at the Fermi level: 10.58 states/eV/cell.

Lattice parameters (Å, degrees): 6.860 6.860 6.860 90.00 90.00 90.00
Space group Pm-3m (No. 221)
Unique sites:
Rb (0.000, 0.000, 0.000) [1 per cell]
Te (0.000, 0.000, 0.500) [3 per cell]
S (0.500, 0.500, 0.500) [1 per cell]


[4]
# Rb2TeS2

Crystalline Rb2TeS2 at its relaxed geometry (PBE-GGA, Alexandria via LeMat-Bulk).

Its energy above the most stable polymorph in this dataset is 49.0 kJ/mol of formula units. Its magnetic moment is 0.0 μB per formula unit. For the formation energy (no corrections), the calculation gives -3.1 eV/f.u. As for the electronic total energy: -3.286 eV per atom. As for the density of states at the Fermi level: 0.67 states/eV/cell.

Lattice parameters (Å, degrees): 7.652 7.652 5.125 90.00 90.00 90.00
Space group P4/mbm (No. 127)
Unique sites:
Rb (0.152, 0.348, 0.000) [4 per cell]
Te (0.000, 0.000, 0.500) [2 per cell]
S (0.171, 0.671, 0.500) [4 per cell]


[5]
# Rb3Te5S12

Crystalline Rb3Te5S12 at its relaxed geometry (PBE-GGA, Alexandria via LeMat-Bulk).

Its magnetic moment is 0.0 μB per formula unit. For the formation energy (no corrections), the calculation gives -2.5 eV/f.u. As for the electronic total energy: -3.530 eV per atom. As for the density of states at the Fermi level: 81.57 states/eV/cell.

Lattice parameters (Å, degrees): 17.075 17.075 17.075 90.00 90.00 90.00
Space group Ia-3d (No. 230)
Unique sites:
Rb (0.000, 0.250, 0.125) [24 per cell]
Te (0.000, 0.000, 0.000) [16 per cell]
Te (0.000, 0.250, 0.375) [24 per cell]
S (0.035, 0.049, 0.645) [96 per cell]


[6]
# Rb2TeS4

Crystalline Rb2TeS4 at its relaxed geometry (PBE-GGA, Alexandria via LeMat-Bulk).

Its energy above the most stable polymorph in this dataset is 0.0 kJ/mol of formula units. Its magnetic moment is 0.0 μB per formula unit. For the formation energy (no corrections), the calculation gives -3.6 eV/f.u. As for the electronic total energy: -3.596 eV per atom.

Lattice parameters (Å, degrees): 7.502 7.173 10.058 90.00 106.05 90.00
Space group P2_1/m (No. 11)
Unique sites:
Rb (0.221, 0.250, 0.038) [2 per cell]
Rb (0.271, 0.250, 0.554) [2 per cell]
Te (0.199, 0.750, 0.785) [2 per cell]
S (0.007, 0.009, 0.728) [4 per cell]
S (0.334, 0.750, 0.020) [2 per cell]
S (0.416, 0.750, 0.660) [2 per cell]


[7]
# RbTe2S4

Crystalline RbTe2S4 at its relaxed geometry (PBE-GGA, Alexandria via LeMat-Bulk).

Its energy above the most stable polymorph in this dataset is 49.0 kJ/mol of formula units. Its magnetic moment is 0.0 μB per formula unit. For the formation energy (no corrections), the calculation gives -1.2 eV/f.u. As for the electronic total energy: -3.572 eV per atom. As for the density of states at the Fermi level: 14.07 states/eV/cell.

Lattice parameters (Å, degrees): 7.698 12.624 11.394 90.00 90.00 90.00
Space group Cccm (No. 66)
Unique sites:
Rb (0.000, 0.000, 0.250) [4 per cell]
Te (0.006, 0.284, 0.000) [8 per cell]
S (0.137, 0.122, 0.500) [8 per cell]
S (0.250, 0.250, 0.148) [8 per cell]


[8]
# RbTe3S3

Crystalline RbTe3S3 at its relaxed geometry (PBE-GGA, Alexandria via LeMat-Bulk).

Its magnetic moment is 0.0 μB per formula unit. For the formation energy (no corrections), the calculation gives -1.1 eV/f.u. As for the electronic total energy: -3.415 eV per atom. As for the density of states at the Fermi level: 10.52 states/eV/cell.

Lattice parameters (Å, degrees): 7.9020 7.9020 28.4781 90.00 90.00 120.00
Space group R-3 (No. 148, hexagonal axes)
Unique sites:
Rb (0.0000, 0.0000, 0.1564) [6 per cell]
Te (0.0034, 0.5607, 0.6168) [18 per cell]
S (0.0168, 0.4441, 0.9145) [18 per cell]


[9]
# RbTe2S4

Crystalline RbTe2S4 at its relaxed geometry (PBE-GGA, Alexandria via LeMat-Bulk).

Its energy above the most stable polymorph in this dataset is 0.0 kJ/mol of formula units. Its magnetic moment is 0.0 μB per formula unit. For the formation energy (no corrections), the calculation gives -1.8 eV/f.u. As for the electronic total energy: -3.645 eV per atom. As for the density of states at the Fermi level: 2.68 states/eV/cell.

Lattice parameters (Å, degrees): 7.176 7.648 10.440 111.12 90.67 98.98
Space group P-1 (No. 2)
Unique sites:
Rb (0.128, 0.328, 0.250) [2 per cell]
Te (0.262, 0.055, 0.570) [2 per cell]
Te (0.446, 0.762, 0.044) [2 per cell]
S (0.054, 0.765, 0.472) [2 per cell]
S (0.265, 0.042, 0.940) [2 per cell]
S (0.419, 0.111, 0.389) [2 per cell]
S (0.424, 0.513, 0.832) [2 per cell]


[10]
# RbThTeS

Crystalline RbThTeS at its relaxed geometry (PBE-GGA, Alexandria via LeMat-Bulk).

Its magnetic moment is 0.0 μB per formula unit. For the formation energy (no corrections), the calculation gives -5.4 eV/f.u. As for the electronic total energy: -5.258 eV per atom. As for the density of states at the Fermi level: 6.59 states/eV/cell.

Lattice parameters (Å, degrees): 7.361 4.256 8.977 90.00 105.82 90.00
Space group Cm (No. 8)
Unique sites:
Rb (0.000, 0.000, 0.000) [2 per cell]
Th (0.156, 0.000, 0.468) [2 per cell]
Te (0.066, 0.500, 0.700) [2 per cell]
S (0.262, 0.500, 0.289) [2 per cell]


[11]
# RbTiTeS4

Crystalline RbTiTeS4 at its relaxed geometry (PBE-GGA, Alexandria via LeMat-Bulk).

Its magnetic moment is 0.0 μB per formula unit. For the formation energy (no corrections), the calculation gives -5.1 eV/f.u. As for the electronic total energy: -4.801 eV per atom. As for the density of states at the Fermi level: 5.75 states/eV/cell.

Lattice parameters (Å, degrees): 6.719 7.059 9.100 90.00 106.27 90.00
Space group P2_1/m (No. 11)
Unique sites:
Rb (0.236, 0.250, 0.428) [2 per cell]
Ti (0.315, 0.750, 0.183) [2 per cell]
Te (0.187, 0.250, 0.924) [2 per cell]
S (0.075, 0.750, 0.328) [2 per cell]
S (0.077, 0.750, 0.937) [2 per cell]
S (0.481, 0.001, 0.775) [4 per cell]


[12]
# Rb2Tl3TeS6

Crystalline Rb2Tl3TeS6 at its relaxed geometry (PBE-GGA, Alexandria via LeMat-Bulk).

Its magnetic moment is 0.0 μB per formula unit. For the formation energy (no corrections), the calculation gives -4.3 eV/f.u. As for the electronic total energy: -3.437 eV per atom. As for the density of states at the Fermi level: 12.32 states/eV/cell.

Lattice parameters (Å, degrees): 7.869 14.113 7.107 90.00 117.25 90.00
Space group C2/m (No. 12)
Unique sites:
Rb (0.000, 0.177, 0.000) [4 per cell]
Tl (0.000, 0.000, 0.500) [2 per cell]
Tl (0.000, 0.352, 0.500) [4 per cell]
Te (0.000, 0.500, 0.000) [2 per cell]
S (0.204, 0.500, 0.784) [4 per cell]
S (0.249, 0.370, 0.266) [8 per cell]


[13]
# Rb2TlTeS4

Crystalline Rb2TlTeS4 at its relaxed geometry (PBE-GGA, Alexandria via LeMat-Bulk).

Its magnetic moment is 0.0 μB per formula unit. For the formation energy (no corrections), the calculation gives -2.7 eV/f.u. As for the electronic total energy: -3.330 eV per atom. As for the density of states at the Fermi level: 34.89 states/eV/cell.

Lattice parameters (Å, degrees): 6.799 14.730 23.409 90.00 90.00 90.00
Space group Fddd (No. 70, origin choice 2)
Unique sites:
Rb (0.125, 0.125, 0.308) [16 per cell]
Tl (0.125, 0.125, 0.125) [8 per cell]
Te (0.125, 0.125, 0.625) [8 per cell]
S (0.097, 0.266, 0.818) [32 per cell]


[14]
# RbTmTeS

Crystalline RbTmTeS at its relaxed geometry (PBE-GGA, Alexandria via LeMat-Bulk).

Its magnetic moment is 0.0 μB per formula unit. For the formation energy (no corrections), the calculation gives -6.2 eV/f.u. As for the electronic total energy: -4.717 eV per atom.

Lattice parameters (Å, degrees): 4.2110 4.2110 24.9392 90.00 90.00 120.00
Space group R3m (No. 160, hexagonal axes)
Unique sites:
Rb (0.0000, 0.0000, 0.0000) [3 per cell]
Tm (0.0000, 0.0000, 0.1550) [3 per cell]
Te (0.0000, 0.0000, 0.5618) [3 per cell]
S (0.0000, 0.0000, 0.7674) [3 per cell]


[15]
# Rb3U3TeS8

Crystalline Rb3U3TeS8 at its relaxed geometry (PBE-GGA, Alexandria via LeMat-Bulk).

Its magnetic moment is 5.7 μB per formula unit. For the formation energy (no corrections), the calculation gives -16.6 eV/f.u. As for the electronic total energy: -5.968 eV per atom. As for the density of states at the Fermi level: 38.07 states/eV/cell.

Lattice parameters (Å, degrees): 13.698 8.544 8.794 90.00 119.68 90.00
Space group C2/m (No. 12)
Unique sites:
Rb (0.000, 0.000, 0.000) [2 per cell]
Rb (0.250, 0.250, 0.000) [4 per cell]
U (0.000, 0.500, 0.500) [2 per cell]
U (0.250, 0.250, 0.500) [4 per cell]
Te (0.000, 0.000, 0.500) [2 per cell]
S (0.033, 0.302, 0.291) [8 per cell]
S (0.228, 0.000, 0.680) [4 per cell]
S (0.233, 0.500, 0.693) [4 per cell]


[16]
# RbUTeS

Crystalline RbUTeS at its relaxed geometry (PBE-GGA, Alexandria via LeMat-Bulk).

Its magnetic moment is 3.0 μB per formula unit. For the formation energy (no corrections), the calculation gives -4.2 eV/f.u. As for the electronic total energy: -5.919 eV per atom. As for the density of states at the Fermi level: 14.33 states/eV/cell.

Lattice parameters (Å, degrees): 4.2202 4.2202 25.4346 90.00 90.00 120.00
Space group R3m (No. 160, hexagonal axes)
Unique sites:
Rb (0.0000, 0.0000, 0.0000) [3 per cell]
U (0.0000, 0.0000, 0.1550) [3 per cell]
Te (0.0000, 0.0000, 0.5642) [3 per cell]
S (0.0000, 0.0000, 0.7656) [3 per cell]


[17]
# RbUTe2S6

Crystalline RbUTe2S6 at its relaxed geometry (PBE-GGA, Alexandria via LeMat-Bulk).

Its magnetic moment is 0.0 μB per formula unit. For the formation energy (no corrections), the calculation gives -5.7 eV/f.u. As for the electronic total energy: -4.902 eV per atom. As for the density of states at the Fermi level: 17.03 states/eV/cell.

Lattice parameters (Å, degrees): 12.549 9.121 10.372 90.00 99.05 90.00
Space group C2/c (No. 15)
Unique sites:
Rb (0.000, 0.248, 0.250) [4 per cell]
U (0.000, 0.253, 0.750) [4 per cell]
Te (0.247, 0.006, 0.748) [8 per cell]
S (0.100, 0.057, 0.897) [8 per cell]
S (0.102, 0.448, 0.895) [8 per cell]
S (0.169, 0.250, 0.629) [8 per cell]


[18]
# Rb2UTeS4

Crystalline Rb2UTeS4 at its relaxed geometry (PBE-GGA, Alexandria via LeMat-Bulk).

Its magnetic moment is 2.0 μB per formula unit. For the formation energy (no corrections), the calculation gives -6.4 eV/f.u. As for the electronic total energy: -4.905 eV per atom. As for the density of states at the Fermi level: 20.54 states/eV/cell.

Lattice parameters (Å, degrees): 8.062 8.062 8.346 90.00 90.00 90.00
Space group I-4 (No. 82)
Unique sites:
Rb (0.000, 0.000, 0.000) [2 per cell]
Rb (0.000, 0.500, 0.250) [2 per cell]
U (0.000, 0.000, 0.500) [2 per cell]
Te (0.000, 0.500, 0.750) [2 per cell]
S (0.154, 0.208, 0.684) [8 per cell]